[1]
DFT (GGA-PBE) results for a geometry-optimized AgMo structure.

a = 4.0439 Å, b = 4.0439 Å, c = 5.4827 Å
α = 90.00°, β = 90.00°, γ = 120.00°
With the nearest neighbours (Å) after each atom.
Space group P6_3/mmc (No. 194)
Inequivalent atoms, fractional coordinates:
Ag 0.0000 0.0000 0.0000 [2 per cell]  6 Mo 2.71, 2 Ag 2.74
Mo 0.3333 0.6667 0.2500 [2 per cell]  6 Ag 2.71

Computed properties:
Relative energy among the computed polymorphs   1.4293 eV/atom
ΔH_f (0 K)   1.693 eV per atom
Crystal system   hexagonal
Total magnetic moment   0.0 μB/f.u.

=====

[2]
DFT (GGA-PBE) results for a geometry-optimized AgMo structure.

a = 5.3555 Å, b = 5.3555 Å, c = 5.3555 Å
α = 90.00°, β = 90.00°, γ = 90.00°
With the nearest neighbours (Å) after each atom.
Space group Fm-3m (No. 225)
Inequivalent atoms, fractional coordinates:
Ag 0.0000 0.0000 0.0000 [4 per cell]  6 Mo 2.68
Mo 0.0000 0.0000 0.5000 [4 per cell]  6 Ag 2.68

Computed properties:
Relative energy among the computed polymorphs   1.4834 eV/atom
ΔH_f (0 K)   1.748 eV per atom
Crystal system   cubic
Total magnetic moment   0.0 μB/f.u.

=====

[3]
DFT (GGA-PBE) results for a geometry-optimized AgMo structure.

a = 2.7977 Å, b = 2.7977 Å, c = 29.7404 Å
α = 90.00°, β = 90.00°, γ = 120.00°
With the nearest neighbours (Å) after each atom.
Space group R-3m (No. 166, hexagonal axes)
Inequivalent atoms, fractional coordinates:
Ag 0.0000 0.0000 0.1244 [6 per cell]  9 Ag 2.80-2.99, 3 Mo 2.97
Mo 0.0000 0.0000 0.3737 [6 per cell]  9 Mo 2.80-2.90, 3 Ag 2.97

Computed properties:
Relative energy among the computed polymorphs   0.1245 eV/atom
ΔH_f (0 K)   0.389 eV per atom
Crystal system   trigonal
Total magnetic moment   0.0 μB/f.u.

=====

[4]
DFT (GGA-PBE) results for a geometry-optimized AgMo structure.

a = 2.6397 Å, b = 4.6868 Å, c = 5.4070 Å
α = 90.00°, β = 90.00°, γ = 90.00°
With the nearest neighbours (Å) after each atom.
Space group Pmmn (No. 59, origin choice 2)
Inequivalent atoms, fractional coordinates:
Ag 0.2500 0.2500 0.0956 [2 per cell]  6 Ag 2.64-2.88, 2 Mo 2.88
Mo 0.2500 0.7500 0.4046 [2 per cell]  6 Mo 2.64-2.88, 2 Ag 2.88

Computed properties:
Relative energy among the computed polymorphs   0.2507 eV/atom
ΔH_f (0 K)   0.515 eV per atom
Crystal system   orthorhombic
Total magnetic moment   0.0 μB/f.u.